Record 1
Computed, not measured: a PBEsol-optimized structure of AsPW2 at the meta-GGA SCAN level of DFT.

Cell: 3.021 4.546 4.302 Å, 90.00 90.48 90.00°
Space group Pm (No. 6)
Asymmetric unit:
As1 0.000 0.000 0.000 x1
P1 0.497 0.500 0.246 x1
W1 0.002 0.500 0.727 x1
W2 0.501 0.000 0.499 x1

Computed properties:
energy relative to the elements	0.1397	eV/atom

***

Record 2
Computed, not measured: a PBEsol-optimized structure of BaZnPt at the meta-GGA SCAN level of DFT.

Cell: 4.3937 4.3937 4.5437 Å, 90.00 90.00 120.00°
Space group P-6m2 (No. 187)
Asymmetric unit:
Ba1 0.0000 0.0000 0.0000 x1
Zn1 0.6667 0.3333 0.5000 x1
Pt1 0.3333 0.6667 0.5000 x1

Computed properties:
energy relative to the elements	-0.7501	eV/atom

***

Record 3
Computed, not measured: a PBEsol-optimized structure of YTiS2 at the meta-GGA SCAN level of DFT.

Cell: 3.7895 3.7895 23.3004 Å, 90.00 90.00 120.00°
Space group R-3m (No. 166, hexagonal axes)
Asymmetric unit:
Y1 0.0000 0.0000 0.0000 x3
Ti1 0.0000 0.0000 0.5000 x3
S1 0.0000 0.0000 0.3995 x6

Computed properties:
formation energy without anion corrections	-1.347	eV/atom

***

Record 4
Computed, not measured: a PBEsol-optimized structure of CuPd2Pt at the meta-GGA SCAN level of DFT.

Cell: 6.090 6.090 6.090 Å, 90.00 90.00 90.00°
Space group Fm-3m (No. 225)
Asymmetric unit:
Cu1 0.000 0.000 0.000 x4
Pd1 0.250 0.250 0.250 x8
Pt1 0.000 0.000 0.500 x4

Computed properties:
energy relative to the elements	0.0207	eV/atom

***

Number 1: DOS at the Fermi energy 0.775 states/eV/atom. Number 2: DOS at the Fermi energy 0.232 states/eV/atom. Number 3: DOS at the Fermi energy 0.613 states/eV/atom. Number 4: DOS at the Fermi energy 1.118 states/eV/atom.